[1]
This record from Alexandria describes a PBEsol-optimized structure of SrYBe2. The functional is meta-GGA SCAN.

Cell and atoms, written as extended XYZ:
```
4
Lattice="-2.128 2.785 -1.961 -4.618 0.698 1.891 0.374 5.213 2.883" Properties=species:S:1:pos:R:3 pbc="T T T"
Be -1.804 4.426 0.016
Be -4.569 4.270 2.796
Y -2.122 2.956 2.387
Sr -1.064 1.392 -0.981
```

Calculated values
The space group is C2/m, No. 12. The formation energy is 0.296 eV/atom. For the mass density, the calculation gives 3122 kg/m³.

***

[2]
This record from Alexandria describes a PBEsol-optimized structure of Sr2BeZn. The functional is meta-GGA SCAN.

Cell and atoms, written as extended XYZ:
```
4
Lattice="3.760 0.000 0.000 0.000 3.760 0.000 0.000 0.000 7.543" Properties=species:S:1:pos:R:3 pbc="T T T"
Sr 0.000 0.000 1.826
Sr 0.000 0.000 5.718
Zn 1.880 1.880 3.772
Be 1.880 1.880 0.000
```

Calculated values
Its energy above the most stable polymorph in this dataset is 0.000 eV per atom. The space group is P4/mmm, No. 123. The formation energy is 0.169 eV/atom. For the mass density, the calculation gives 3888 kg/m³.

***

[3]
This record from Alexandria describes a PBEsol-optimized structure of SrBe3Zn. The functional is meta-GGA SCAN.

Cell and atoms, written as extended XYZ:
```
5
Lattice="-2.084 -4.859 1.629 2.750 0.424 4.782 -4.325 2.611 2.256" Properties=species:S:1:pos:R:3 pbc="T T T"
Be -1.042 -2.430 0.815
Be 1.375 0.212 2.391
Be -2.162 1.306 1.128
Sr 0.000 0.000 0.000
Zn -1.829 -0.912 4.334
```

Calculated values
The space group is Pm-3m, No. 221. The formation energy is 2.243 eV/atom. For the mass density, the calculation gives 1765 kg/m³.

***

[4]
This record from Alexandria describes a PBEsol-optimized structure of SrBeZn. The functional is meta-GGA SCAN.

Cell and atoms, written as extended XYZ:
```
3
Lattice="4.705 0.000 0.000 2.352 4.074 0.000 2.352 1.358 3.841" Properties=species:S:1:pos:R:3 pbc="T T T"
Zn 2.352 1.358 0.960
Sr 4.705 2.716 1.921
Be 0.000 0.000 0.000
```

Calculated values
The space group is F-43m, No. 216. The formation energy is 0.487 eV/atom. For the mass density, the calculation gives 3654 kg/m³.

***

[5]
This record from Alexandria describes a PBEsol-optimized structure of Sr2BeZn. The functional is meta-GGA SCAN.

Cell and atoms, written as extended XYZ:
```
4
Lattice="-4.388 0.448 0.346 2.415 -0.991 3.619 0.719 7.839 -1.040" Properties=species:S:1:pos:R:3 pbc="T T T"
Sr 0.279 1.482 1.617
Sr -1.533 5.815 1.308
Be -2.194 0.224 0.173
Zn 0.360 3.920 -0.520
```

Calculated values
Its energy above the most stable polymorph in this dataset is 0.190 eV per atom. The space group is C2/m, No. 12. The formation energy is 0.360 eV/atom. For the mass density, the calculation gives 3212 kg/m³.

***

[6]
This record from Alexandria describes a PBEsol-optimized structure of SrZr2Be. The functional is meta-GGA SCAN.

Cell and atoms, written as extended XYZ:
```
4
Lattice="-0.441 -1.356 -2.795 -4.432 -2.035 1.968 -0.345 6.108 -1.288" Properties=species:S:1:pos:R:3 pbc="T T T"
Zr -0.173 3.054 -0.644
Zr -2.609 1.358 -1.057
Sr -2.216 -1.018 0.984
Be -0.221 -0.678 -1.397
```

Calculated values
The space group is C2/m, No. 12. The formation energy is 0.724 eV/atom. For the mass density, the calculation gives 5124 kg/m³.

***

Repeat the third record exactly.
This record from Alexandria describes a PBEsol-optimized structure of SrBe3Zn. The functional is meta-GGA SCAN.

Cell and atoms, written as extended XYZ:
```
5
Lattice="-2.084 -4.859 1.629 2.750 0.424 4.782 -4.325 2.611 2.256" Properties=species:S:1:pos:R:3 pbc="T T T"
Be -1.042 -2.430 0.815
Be 1.375 0.212 2.391
Be -2.162 1.306 1.128
Sr 0.000 0.000 0.000
Zn -1.829 -0.912 4.334
```

Calculated values
The space group is Pm-3m, No. 221. The formation energy is 2.243 eV/atom. For the mass density, the calculation gives 1765 kg/m³.